one:
This record from Alexandria via LeMat-Bulk describes crystalline LiCaZnNi at its relaxed geometry. The functional is PBE-GGA.

a = 4.605 Å, b = 4.605 Å, c = 4.605 Å
α = 60.00°, β = 60.00°, γ = 60.00°
Atoms (fractional coordinates):
Li 0.000 0.000 0.000
Ca 0.750 0.750 0.750
Zn 0.250 0.250 0.250
Ni 0.500 0.500 0.500

Calculated values
- V (Å³/f.u.) = 69.0

two:
This record from Alexandria via LeMat-Bulk describes crystalline LiCaZnNi at its relaxed geometry. The functional is PBE-GGA.

a = 4.250 Å, b = 4.250 Å, c = 5.530 Å
α = 113.14°, β = 113.14°, γ = 60.06°
Atoms (fractional coordinates):
Li 0.000 0.000 0.000
Ca 0.199 0.199 0.594
Zn 0.723 0.723 0.169
Ni 0.403 0.403 0.208

Calculated values
- V (Å³/f.u.) = 77.1

Least stable: one

one:
This record from Alexandria via LeMat-Bulk describes crystalline LiCaPO2 at its relaxed geometry. The functional is PBE-GGA.

a = 4.055 Å, b = 4.055 Å, c = 4.028 Å
α = 90.00°, β = 90.00°, γ = 90.00°
Atoms (fractional coordinates):
Li 0.000 0.000 0.000
Ca 0.500 0.500 0.500
P 0.000 0.000 0.500
O 0.000 0.500 0.000
O 0.500 0.000 0.000

Calculated values
- V (Å³/f.u.) = 66.2

two:
This record from Alexandria via LeMat-Bulk describes crystalline LiCaPO2 at its relaxed geometry. The functional is PBE-GGA.

a = 4.440 Å, b = 4.440 Å, c = 5.754 Å
α = 90.00°, β = 90.00°, γ = 90.00°
Atoms (fractional coordinates):
Li 0.000 0.000 0.000
Ca 0.500 0.500 0.500
P 0.500 0.500 0.000
O 0.000 0.500 0.500
O 0.500 0.000 0.500

Calculated values
- V (Å³/f.u.) = 113.4

Least stable: two

one:
This record from Alexandria via LeMat-Bulk describes crystalline LiCaP2O at its relaxed geometry. The functional is PBE-GGA.

a = 5.411 Å, b = 5.411 Å, c = 4.293 Å
α = 90.00°, β = 90.00°, γ = 90.00°
Atoms (fractional coordinates):
Li 0.000 0.000 0.000
Ca 0.500 0.500 0.500
P 0.000 0.500 0.500
P 0.500 0.000 0.500
O 0.500 0.500 0.000

Calculated values
- V (Å³/f.u.) = 125.7

two:
This record from Alexandria via LeMat-Bulk describes crystalline LiCaP2O at its relaxed geometry. The functional is PBE-GGA.

a = 4.397 Å, b = 4.397 Å, c = 4.201 Å
α = 90.00°, β = 90.00°, γ = 90.00°
Atoms (fractional coordinates):
Li 0.000 0.000 0.000
Ca 0.500 0.500 0.500
P 0.000 0.500 0.000
P 0.500 0.000 0.000
O 0.000 0.000 0.500

Calculated values
- V (Å³/f.u.) = 81.2

Least stable: one

one:
This record from Alexandria via LeMat-Bulk describes crystalline LiCa2RuO at its relaxed geometry. The functional is PBE-GGA.

a = 5.338 Å, b = 5.338 Å, c = 3.230 Å
α = 90.00°, β = 90.00°, γ = 90.00°
Atoms (fractional coordinates):
Li 0.000 0.000 0.000
Ca 0.000 0.500 0.000
Ca 0.500 0.000 0.000
Ru 0.500 0.500 0.500
O 0.000 0.000 0.500

Calculated values
- V (Å³/f.u.) = 92.1

two:
This record from Alexandria via LeMat-Bulk describes crystalline LiCa2RuO at its relaxed geometry. The functional is PBE-GGA.

a = 4.927 Å, b = 4.927 Å, c = 3.975 Å
α = 90.00°, β = 90.00°, γ = 90.00°
Atoms (fractional coordinates):
Li 0.000 0.000 0.000
Ca 0.000 0.500 0.500
Ca 0.500 0.000 0.500
Ru 0.500 0.500 0.000
O 0.500 0.500 0.500

Calculated values
- V (Å³/f.u.) = 96.5

Least stable: one

one:
This record from Alexandria via LeMat-Bulk describes crystalline Li2CaSO at its relaxed geometry. The functional is PBE-GGA.

a = 3.992 Å, b = 3.992 Å, c = 4.648 Å
α = 90.00°, β = 90.00°, γ = 90.00°
Atoms (fractional coordinates):
Li 0.000 0.500 0.000
Li 0.500 0.000 0.000
Ca 0.000 0.000 0.500
S 0.500 0.500 0.500
O 0.000 0.000 0.000

Calculated values
- V (Å³/f.u.) = 74.1

two:
This record from Alexandria via LeMat-Bulk describes crystalline Li2CaSO at its relaxed geometry. The functional is PBE-GGA.

a = 5.479 Å, b = 5.479 Å, c = 3.991 Å
α = 90.00°, β = 90.00°, γ = 90.00°
Atoms (fractional coordinates):
Li 0.000 0.500 0.000
Li 0.500 0.000 0.000
Ca 0.000 0.000 0.000
S 0.500 0.500 0.500
O 0.000 0.000 0.500

Calculated values
- V (Å³/f.u.) = 119.8

Least stable: two

one:
This record from Alexandria via LeMat-Bulk describes crystalline LiCaOs3 at its relaxed geometry. The functional is PBE-GGA.

a = 4.296 Å, b = 4.296 Å, c = 4.296 Å
α = 90.00°, β = 90.00°, γ = 90.00°
Atoms (fractional coordinates):
Li 0.000 0.000 0.000
Ca 0.500 0.500 0.500
Os 0.000 0.000 0.500
Os 0.000 0.500 0.000
Os 0.500 0.000 0.000

Calculated values
- V (Å³/f.u.) = 79.3

two:
This record from Alexandria via LeMat-Bulk describes crystalline LiCaOs3 at its relaxed geometry. The functional is PBE-GGA.

a = 4.737 Å, b = 4.737 Å, c = 4.737 Å
α = 90.00°, β = 90.00°, γ = 90.00°
Atoms (fractional coordinates):
Li 0.000 0.000 0.000
Ca 0.500 0.500 0.500
Os 0.000 0.500 0.500
Os 0.500 0.000 0.500
Os 0.500 0.500 0.000

Calculated values
- V (Å³/f.u.) = 106.3

Least stable: two

one:
This record from Alexandria via LeMat-Bulk describes crystalline LiCaOs at its relaxed geometry. The functional is PBE-GGA.

a = 4.809 Å, b = 4.809 Å, c = 2.676 Å
α = 90.00°, β = 90.00°, γ = 120.00°
Atoms (fractional coordinates):
Li 0.000 0.000 0.000
Ca 0.667 0.333 0.642
Os 0.333 0.667 0.186

Calculated values
- V (Å³/f.u.) = 53.6

two:
This record from Alexandria via LeMat-Bulk describes crystalline LiCaOs at its relaxed geometry. The functional is PBE-GGA.

a = 7.382 Å, b = 7.382 Å, c = 7.382 Å
α = 157.69°, β = 157.69°, γ = 31.75°
Atoms (fractional coordinates):
Li 0.000 0.000 0.000
Ca 0.715 0.715 0.000
Os 0.368 0.368 0.000

Calculated values
- V (Å³/f.u.) = 57.9

Least stable: two

one:
This record from Alexandria via LeMat-Bulk describes crystalline LiCaOs at its relaxed geometry. The functional is PBE-GGA.

a = 4.654 Å, b = 4.654 Å, c = 4.654 Å
α = 60.00°, β = 60.00°, γ = 60.00°
Atoms (fractional coordinates):
Li 0.000 0.000 0.000
Ca 0.750 0.750 0.750
Os 0.500 0.500 0.500

Calculated values
- V (Å³/f.u.) = 71.3

two:
This record from Alexandria via LeMat-Bulk describes crystalline LiCaOs at its relaxed geometry. The functional is PBE-GGA.

a = 5.199 Å, b = 5.199 Å, c = 5.199 Å
α = 150.53°, β = 128.50°, γ = 60.45°
Atoms (fractional coordinates):
Li 0.000 0.000 0.000
Ca 0.312 0.312 0.000
Os 0.640 0.640 0.000

Calculated values
- V (Å³/f.u.) = 53.7

three:
This record from Alexandria via LeMat-Bulk describes crystalline LiCaOs at its relaxed geometry. The functional is PBE-GGA.

a = 4.414 Å, b = 4.414 Å, c = 4.414 Å
α = 60.00°, β = 60.00°, γ = 60.00°
Atoms (fractional coordinates):
Li 0.000 0.000 0.000
Ca 0.250 0.250 0.250
Os 0.750 0.750 0.750

Calculated values
- V (Å³/f.u.) = 60.8

Least stable: one

one:
This record from Alexandria via LeMat-Bulk describes crystalline LiCa2Os2 at its relaxed geometry. The functional is PBE-GGA.

a = 5.625 Å, b = 5.625 Å, c = 5.625 Å
α = 120.49°, β = 120.49°, γ = 89.15°
Atoms (fractional coordinates):
Li 0.000 0.000 0.000
Ca 0.250 0.750 0.500
Ca 0.750 0.250 0.500
Os 0.356 0.356 0.000
Os 0.644 0.644 0.000

Calculated values
- V (Å³/f.u.) = 124.9

two:
This record from Alexandria via LeMat-Bulk describes crystalline LiCa2Os2 at its relaxed geometry. The functional is PBE-GGA.

a = 8.802 Å, b = 8.802 Å, c = 2.959 Å
α = 90.00°, β = 90.00°, γ = 90.00°
Atoms (fractional coordinates):
Li 0.000 0.000 0.000
Li 0.500 0.500 0.000
Ca 0.191 0.309 0.000
Ca 0.309 0.809 0.000
Ca 0.691 0.191 0.000
Ca 0.809 0.691 0.000
Os 0.093 0.593 0.500
Os 0.407 0.093 0.500
Os 0.593 0.907 0.500
Os 0.907 0.407 0.500

Calculated values
- V (Å³/f.u.) = 114.6

three:
This record from Alexandria via LeMat-Bulk describes crystalline LiCa2Os2 at its relaxed geometry. The functional is PBE-GGA.

a = 10.464 Å, b = 10.464 Å, c = 10.464 Å
α = 160.31°, β = 160.31°, γ = 27.99°
Atoms (fractional coordinates):
Li 0.000 0.000 0.000
Ca 0.373 0.373 0.000
Ca 0.627 0.627 0.000
Os 0.250 0.750 0.500
Os 0.750 0.250 0.500

Calculated values
- V (Å³/f.u.) = 130.0

Least stable: one

one:
This record from Alexandria via LeMat-Bulk describes crystalline LiCa3P at its relaxed geometry. The functional is PBE-GGA.

a = 4.843 Å, b = 4.843 Å, c = 18.083 Å
α = 90.00°, β = 90.00°, γ = 120.00°
Atoms (fractional coordinates):
Li 0.000 0.000 0.000
Li 0.000 0.000 0.500
Ca 0.000 0.000 0.250
Ca 0.000 0.000 0.750
Ca 0.333 0.667 0.097
Ca 0.333 0.667 0.403
Ca 0.667 0.333 0.597
Ca 0.667 0.333 0.903
P 0.333 0.667 0.250
P 0.667 0.333 0.750

Calculated values
- V (Å³/f.u.) = 183.6

two:
This record from Alexandria via LeMat-Bulk describes crystalline LiCa3P at its relaxed geometry. The functional is PBE-GGA.

a = 7.491 Å, b = 7.491 Å, c = 11.792 Å
α = 119.28°, β = 119.28°, γ = 31.93°
Atoms (fractional coordinates):
Li 0.000 0.000 0.000
Li 0.167 0.167 0.316
Ca 0.040 0.040 0.488
Ca 0.303 0.303 0.822
Ca 0.449 0.449 0.180
Ca 0.583 0.583 0.815
Ca 0.739 0.739 0.179
Ca 0.822 0.822 0.539
P 0.366 0.366 0.378
P 0.818 0.818 0.998

Calculated values
- V (Å³/f.u.) = 150.6

Least stable: one

one:
This record from Alexandria via LeMat-Bulk describes crystalline LiCa3P at its relaxed geometry. The functional is PBE-GGA.

a = 9.877 Å, b = 9.877 Å, c = 7.044 Å
α = 93.18°, β = 93.18°, γ = 98.42°
Atoms (fractional coordinates):
Li 0.052 0.179 0.131
Li 0.179 0.052 0.631
Li 0.821 0.948 0.369
Li 0.948 0.821 0.869
Ca 0.042 0.724 0.405
Ca 0.177 0.579 0.904
Ca 0.276 0.958 0.095
Ca 0.310 0.447 0.394
Ca 0.421 0.823 0.596
Ca 0.447 0.310 0.894
Ca 0.553 0.690 0.106
Ca 0.579 0.177 0.404
Ca 0.690 0.553 0.606
Ca 0.724 0.042 0.905
Ca 0.823 0.421 0.096
Ca 0.958 0.276 0.595
P 0.290 0.710 0.250
P 0.429 0.571 0.750
P 0.571 0.429 0.250
P 0.710 0.290 0.750

Calculated values
- V (Å³/f.u.) = 169.3

two:
This record from Alexandria via LeMat-Bulk describes crystalline LiCa3P at its relaxed geometry. The functional is PBE-GGA.

a = 9.323 Å, b = 9.323 Å, c = 10.271 Å
α = 113.25°, β = 113.25°, γ = 24.75°
Atoms (fractional coordinates):
Li 0.194 0.194 0.415
Li 0.806 0.806 0.585
Ca 0.012 0.012 0.785
Ca 0.199 0.199 0.089
Ca 0.386 0.386 0.412
Ca 0.614 0.614 0.588
Ca 0.801 0.801 0.911
Ca 0.988 0.988 0.215
P 0.367 0.367 0.123
P 0.633 0.633 0.877

Calculated values
- V (Å³/f.u.) = 171.0

three:
This record from Alexandria via LeMat-Bulk describes crystalline LiCa3P at its relaxed geometry. The functional is PBE-GGA.

a = 10.006 Å, b = 5.832 Å, c = 11.266 Å
α = 90.00°, β = 112.38°, γ = 90.00°
Atoms (fractional coordinates):
Li 0.144 0.058 0.024
Li 0.144 0.442 0.524
Li 0.856 0.558 0.476
Li 0.856 0.942 0.976
Ca 0.031 0.605 0.851
Ca 0.031 0.895 0.351
Ca 0.337 0.698 0.209
Ca 0.337 0.802 0.709
Ca 0.372 0.231 0.439
Ca 0.372 0.269 0.939
Ca 0.628 0.731 0.061
Ca 0.628 0.769 0.561
Ca 0.663 0.198 0.291
Ca 0.663 0.302 0.791
Ca 0.969 0.105 0.649
Ca 0.969 0.395 0.149
P 0.316 0.722 0.454
P 0.316 0.778 0.954
P 0.684 0.222 0.046
P 0.684 0.278 0.546

Calculated values
- V (Å³/f.u.) = 152.0

Least stable: two